(1)
Entry from Alexandria: a geometry-optimized Dy7Er3Th structure (PBE).

## Properties
**Fermi-level density of states**: 1.598 states/eV/atom
**Symmetry**: No. 12
**Energy relative to the lowest polymorph listed for this composition**: 0.00 eV per formula unit
**Energy of formation**: 155 meV/atom

Cell: 9.837 9.837 11.121 Å, 90.27 90.27 138.93°
Sites, in units of the cell vectors:
Dy 0.087 0.410 0.471
Dy 0.090 0.413 0.029
Dy 0.163 0.338 0.750
Dy 0.249 0.249 0.250
Dy 0.338 0.163 0.750
Dy 0.410 0.087 0.471
Dy 0.413 0.090 0.029
Dy 0.587 0.910 0.971
Dy 0.590 0.913 0.529
Dy 0.662 0.837 0.250
Dy 0.751 0.751 0.750
Dy 0.837 0.662 0.250
Dy 0.910 0.587 0.971
Dy 0.913 0.590 0.529
Er 0.000 0.000 0.000
Er 0.250 0.750 0.250
Er 0.250 0.750 0.750
Er 0.500 0.500 0.500
Er 0.750 0.250 0.250
Er 0.750 0.250 0.750
Th 0.000 0.000 0.500
Th 0.500 0.500 0.000

***

(2)
Entry from Alexandria: a geometry-optimized DyEr4Th3 structure (PBE).

## Properties
**Fermi-level density of states**: 1.280 states/eV/atom
**Symmetry**: No. 12
**Energy relative to the lowest polymorph listed for this composition**: 0.00 eV per formula unit
**Energy of formation**: 26 meV/atom

Cell: 11.739 11.739 6.074 Å, 95.00 95.00 17.42°
Sites, in units of the cell vectors:
Dy 0.000 0.000 0.000
Er 0.250 0.250 0.746
Er 0.375 0.375 0.125
Er 0.625 0.625 0.875
Er 0.750 0.750 0.254
Th 0.125 0.125 0.376
Th 0.500 0.500 0.500
Th 0.875 0.875 0.624

***

(3)
Entry from Alexandria: a geometry-optimized DyEr5Th structure (PBE).

## Properties
**Fermi-level density of states**: 1.727 states/eV/atom
**Symmetry**: No. 15
**Energy relative to the lowest polymorph listed for this composition**: 0.00 eV per formula unit
**Energy of formation**: 211 meV/atom

Cell: 6.383 6.383 12.708 Å, 94.11 94.11 60.17°
Sites, in units of the cell vectors:
Dy 0.241 0.759 0.750
Dy 0.759 0.241 0.250
Er 0.160 0.165 0.560
Er 0.165 0.160 0.060
Er 0.247 0.753 0.250
Er 0.259 0.265 0.822
Er 0.265 0.259 0.322
Er 0.735 0.741 0.678
Er 0.741 0.735 0.178
Er 0.753 0.247 0.750
Er 0.835 0.840 0.940
Er 0.840 0.835 0.440
Th 0.500 0.500 0.000
Th 0.500 0.500 0.500

***

(4)
Entry from Alexandria: a geometry-optimized DyEr7Th3 structure (PBE).

## Properties
**Fermi-level density of states**: 1.358 states/eV/atom
**Symmetry**: No. 156
**Energy relative to the lowest polymorph listed for this composition**: 0.59 eV per formula unit
**Energy of formation**: 208 meV/atom

Cell: 7.027 7.027 8.479 Å, 90.00 90.00 120.00°
Sites, in units of the cell vectors:
Dy 0.000 0.000 0.000
Er 0.166 0.331 0.339
Er 0.166 0.834 0.339
Er 0.501 0.002 0.003
Er 0.501 0.499 0.003
Er 0.667 0.333 0.341
Er 0.669 0.834 0.339
Er 0.998 0.499 0.003
Th 0.334 0.167 0.671
Th 0.833 0.167 0.671
Th 0.833 0.666 0.671

***

(5)
Entry from Alexandria: a geometry-optimized Dy6Er16Th7 structure (PBE).

## Properties
**Fermi-level density of states**: 1.755 states/eV/atom
**Symmetry**: No. 225
**Energy of formation**: 274 meV/atom

Cell: 11.185 11.185 11.185 Å, 60.00 60.00 60.00°
Sites, in units of the cell vectors:
Dy 0.246 0.246 0.754
Dy 0.246 0.754 0.246
Dy 0.246 0.754 0.754
Dy 0.754 0.246 0.246
Dy 0.754 0.246 0.754
Dy 0.754 0.754 0.246
Er 0.112 0.629 0.629
Er 0.153 0.153 0.153
Er 0.153 0.153 0.541
Er 0.153 0.541 0.153
Er 0.371 0.371 0.371
Er 0.371 0.371 0.888
Er 0.371 0.888 0.371
Er 0.459 0.847 0.847
Er 0.541 0.153 0.153
Er 0.629 0.112 0.629
Er 0.629 0.629 0.112
Er 0.629 0.629 0.629
Er 0.847 0.459 0.847
Er 0.847 0.847 0.459
Er 0.847 0.847 0.847
Er 0.888 0.371 0.371
Th 0.000 0.000 0.500
Th 0.000 0.500 0.000
Th 0.000 0.500 0.500
Th 0.500 0.000 0.000
Th 0.500 0.000 0.500
Th 0.500 0.500 0.000
Th 0.500 0.500 0.500

***

(6)
Entry from Alexandria: a geometry-optimized Dy4Er3Th2 structure (PBE).

## Properties
**Fermi-level density of states**: 1.884 states/eV/atom
**Symmetry**: No. 156
**Energy relative to the lowest polymorph listed for this composition**: 0.00 eV per formula unit
**Energy of formation**: 66 meV/atom

Cell: 3.543 3.543 26.306 Å, 90.00 90.00 120.00°
Sites, in units of the cell vectors:
Dy 0.000 0.000 0.000
Dy 0.000 0.000 0.214
Dy 0.333 0.667 0.322
Dy 0.333 0.667 0.538
Er 0.000 0.000 0.430
Er 0.333 0.667 0.106
Er 0.333 0.667 0.760
Th 0.000 0.000 0.649
Th 0.000 0.000 0.870

***

| no. | spin magnetization (μB/f.u.) | DFT total energy (eV/cell) |
| --- | --- | --- |
| 1 | 0.00 | -103.24 |
| 2 | 0.00 | -44.90 |
| 3 | 0.00 | -66.72 |
| 4 | 0.00 | -56.51 |
| 5 | 0.00 | -144.61 |
| 6 | 0.04 | -46.34 |